(1)
InSn3Au4: relaxed, PBE-GGA.

a b c (Å): 6.951 6.954 8.482
angles (deg): 90.00 90.00 112.10
Sites, in units of the cell vectors:
1 Au 0.001 0.251 0.626
2 Au 0.998 0.249 0.125
3 In 0.750 0.000 0.874
4 Au 0.502 0.751 0.125
5 Au 0.999 0.749 0.374
6 Sn 0.750 0.000 0.377
7 Au 0.498 0.249 0.875
8 Au 0.002 0.751 0.875
9 Sn 0.750 0.500 0.124
10 Sn 0.750 0.500 0.625
11 Sn 0.250 0.500 0.375
12 Au 0.501 0.251 0.374
13 In 0.250 0.000 0.126
14 Sn 0.250 0.500 0.876
15 Sn 0.250 0.000 0.623
16 Au 0.499 0.749 0.626

- space group = P2/c (13)
- formation energy (eV/atom) = -0.14
- VASP energy (eV for the cell shown) = -58.01
- energy relative to the lowest polymorph listed for this composition (eV/f.u.) = 0.000
- magnetization (μB/cell) = 0.0
- N(E_F) (states/eV/atom) = 0.397


(2)
InSnAu6: relaxed, PBE-GGA.

a b c (Å): 5.228 5.228 6.835
angles (deg): 112.31 112.31 90.26
Sites, in units of the cell vectors:
1 Sn 0.500 0.500 0.000
2 Au 0.626 0.130 0.254
3 Au 0.245 0.245 0.495
4 Au 0.130 0.626 0.254
5 Au 0.755 0.755 0.505
6 Au 0.870 0.374 0.746
7 In 0.000 0.000 0.000
8 Au 0.374 0.870 0.746

- space group = C2/m (12)
- formation energy (eV/atom) = -0.08
- VASP energy (eV for the cell shown) = -27.08
- energy relative to the lowest polymorph listed for this composition (eV/f.u.) = 0.000
- magnetization (μB/cell) = 0.0
- N(E_F) (states/eV/atom) = 0.237


(3)
In2Sn2Au: relaxed, PBE-GGA.

a b c (Å): 4.084 4.084 8.644
angles (deg): 76.34 76.34 90.00
Sites, in units of the cell vectors:
1 Sn 0.409 0.409 0.182
2 In 0.750 0.250 0.500
3 Sn 0.591 0.591 0.818
4 In 0.250 0.750 0.500
5 Au 0.000 0.000 0.000

- space group = I4/mmm (139)
- formation energy (eV/atom) = 0.18
- VASP energy (eV for the cell shown) = -15.87
- energy relative to the lowest polymorph listed for this composition (eV/f.u.) = 1.062
- magnetization (μB/cell) = 0.0
- N(E_F) (states/eV/atom) = 0.504


(4)
InSn3Au6: relaxed, PBE-GGA.

a b c (Å): 7.739 7.572 7.572
angles (deg): 87.84 90.00 90.00
Sites, in units of the cell vectors:
1 Sn 0.454 0.287 0.034
2 Au 0.683 0.291 0.709
3 Sn 0.414 0.491 0.509
4 Au 0.183 0.709 0.291
5 In 0.537 0.796 0.204
6 Au 0.740 0.478 0.164
7 Au 0.607 0.640 0.832
8 Sn 0.954 0.034 0.287
9 Au 0.107 0.832 0.640
10 Au 0.607 0.168 0.360
11 Sn 0.914 0.509 0.491
12 Au 0.240 0.522 0.836
13 Sn 0.454 0.966 0.713
14 Au 0.740 0.836 0.522
15 Au 0.749 0.025 0.975
16 Au 0.107 0.360 0.168
17 Au 0.240 0.164 0.478
18 Sn 0.954 0.713 0.966
19 In 0.037 0.204 0.796
20 Au 0.249 0.975 0.025

- space group = Cmc2_1 (36)
- formation energy (eV/atom) = -0.09
- VASP energy (eV for the cell shown) = -70.69
- energy relative to the lowest polymorph listed for this composition (eV/f.u.) = 0.000
- magnetization (μB/cell) = 0.0
- N(E_F) (states/eV/atom) = 0.272